## Hf2BeCSe (PBE)

Data for a geometry-optimized Hf2BeCSe structure.

Results
**Crystal system**: tetragonal
**Raw formation energy**: -0.474 eV per atom
**Calculated total energy**: -38.71 eV per cell
**ρ**: 10.413 g/cm³
**Total moment**: 0.00 μB/f.u.

Cell: 4.6678 4.6678 3.3445 Å, 90.00 90.00 90.00°
Closest atoms and distances in Å follow each position.
Space group P4/mmm (No. 123)
Asymmetric unit:
Hf1 0.0000 0.5000 0.0000  2 C 2.33
Be1 0.0000 0.0000 0.5000  2 C 1.67
C1 0.0000 0.0000 0.0000  2 Be 1.67
Se1 0.5000 0.5000 0.5000  8 Hf 2.87